A plane-wave DFT calculation with PBE was carried out for a relaxed KSiSb2Au crystal.

Cell and atoms, written as extended XYZ:
```
5
Lattice="5.141 0.000 0.000 0.000 6.366 0.000 0.000 0.000 5.141" Properties=species:S:1:pos:R:3 pbc="T T T"
Sb 2.571 0.000 0.000
Si 0.000 0.000 0.000
Sb 0.000 0.000 2.571
Au 2.571 3.183 2.571
K 0.000 3.183 0.000
```

D(E_F) ... 0.802 states/eV per atom
V ... 168.3 Å³/f.u.
E_form (uncorrected) ... 0.51 eV/atom
Total energy ... -3.09 eV per atom